1.
Here is a relaxed Cu2RuRh crystal from Alexandria. Energies are from PBE.

a = 8.734 Å, b = 2.654 Å, c = 4.641 Å
α = 90.00°, β = 100.05°, γ = 90.00°
Space group C2/m (No. 12)
Symmetry-distinct sites (fractional):
Cu 0.249 0.000 0.249 x4
Ru 0.000 0.500 0.000 x2
Rh 0.000 0.000 0.500 x2

Calculated values
ΔH_f (0 K): 0.18 eV per atom
Polymorph energy (0 for the lowest one): 0.094 eV per atom
DOS(E_F): 10.60 states/eV/cell


2.
Here is a relaxed Cu2RuRh crystal from Alexandria. Energies are from PBE.

a = 2.907 Å, b = 4.279 Å, c = 8.420 Å
α = 90.00°, β = 90.00°, γ = 90.00°
Space group Imm2 (No. 44)
Symmetry-distinct sites (fractional):
Cu 0.000 0.000 0.000 x2
Cu 0.000 0.500 0.269 x2
Ru 0.000 0.000 0.512 x2
Rh 0.000 0.500 0.755 x2

Calculated values
ΔH_f (0 K): 0.22 eV per atom
Polymorph energy (0 for the lowest one): 0.130 eV per atom
DOS(E_F): 9.94 states/eV/cell


3.
Here is a relaxed CuRuRh6 crystal from Alexandria. Energies are from PBE.

a = 3.823 Å, b = 3.823 Å, c = 7.660 Å
α = 90.00°, β = 90.00°, γ = 90.00°
Space group P4/mmm (No. 123)
Symmetry-distinct sites (fractional):
Cu 0.000 0.000 0.000 x1
Ru 0.000 0.000 0.500 x1
Rh 0.000 0.500 0.252 x4
Rh 0.500 0.500 0.000 x1
Rh 0.500 0.500 0.500 x1

Calculated values
ΔH_f (0 K): 0.03 eV per atom
DOS(E_F): 9.50 states/eV/cell


4.
Here is a relaxed Cu2RuRh crystal from Alexandria. Energies are from PBE.

a = 3.751 Å, b = 3.751 Å, c = 7.600 Å
α = 90.00°, β = 90.00°, γ = 90.00°
Space group I4/mmm (No. 139)
Symmetry-distinct sites (fractional):
Cu 0.000 0.500 0.250 x4
Ru 0.000 0.000 0.000 x2
Rh 0.000 0.000 0.500 x2

Calculated values
ΔH_f (0 K): 0.28 eV per atom
Polymorph energy (0 for the lowest one): 0.188 eV per atom
DOS(E_F): 9.95 states/eV/cell


5.
Here is a relaxed CuRuRh crystal from Alexandria. Energies are from PBE.

a = 2.6862 Å, b = 2.6862 Å, c = 6.5155 Å
α = 90.00°, β = 90.00°, γ = 120.00°
Space group P3m1 (No. 156)
Symmetry-distinct sites (fractional):
Cu 0.0000 0.0000 0.0000 x1
Ru 0.3333 0.6667 0.6674 x1
Rh 0.6667 0.3333 0.3354 x1

Calculated values
ΔH_f (0 K): 0.11 eV per atom
Polymorph energy (0 for the lowest one): 0.083 eV per atom
DOS(E_F): 2.35 states/eV/cell


6.
Here is a relaxed Cu2RuRh crystal from Alexandria. Energies are from PBE.

a = 6.809 Å, b = 6.809 Å, c = 4.982 Å
α = 90.00°, β = 90.00°, γ = 90.00°
Space group I-42d (No. 122)
Symmetry-distinct sites (fractional):
Cu 0.248 0.250 0.125 x8
Ru 0.000 0.000 0.000 x4
Rh 0.000 0.000 0.500 x4

Calculated values
ΔH_f (0 K): 0.72 eV per atom
Polymorph energy (0 for the lowest one): 0.627 eV per atom
DOS(E_F): 22.87 states/eV/cell


7.
Here is a relaxed CuRuRh crystal from Alexandria. Energies are from PBE.

a = 2.730 Å, b = 4.556 Å, c = 13.444 Å
α = 90.00°, β = 90.00°, γ = 90.00°
Space group Fmm2 (No. 42)
Symmetry-distinct sites (fractional):
Cu 0.000 0.000 0.000 x4
Ru 0.000 0.000 0.334 x4
Rh 0.000 0.000 0.666 x4

Calculated values
ΔH_f (0 K): 0.31 eV per atom
Polymorph energy (0 for the lowest one): 0.286 eV per atom
DOS(E_F): 16.15 states/eV/cell


8.
Here is a relaxed Cu2RuRh crystal from Alexandria. Energies are from PBE.

a = 2.6712 Å, b = 2.6712 Å, c = 25.7749 Å
α = 90.00°, β = 90.00°, γ = 120.00°
Space group R-3m (No. 166, hexagonal axes)
Symmetry-distinct sites (fractional):
Cu 0.0000 0.0000 0.2502 x6
Ru 0.0000 0.0000 0.0000 x3
Rh 0.0000 0.0000 0.5000 x3

Calculated values
ΔH_f (0 K): 0.18 eV per atom
Polymorph energy (0 for the lowest one): 0.091 eV per atom
DOS(E_F): 14.65 states/eV/cell


9.
Here is a relaxed CuRuRh crystal from Alexandria. Energies are from PBE.

a = 2.7004 Å, b = 2.7004 Å, c = 12.8905 Å
α = 90.00°, β = 90.00°, γ = 120.00°
Space group P3m1 (No. 156)
Symmetry-distinct sites (fractional):
Cu 0.0000 0.0000 0.0000 x1
Cu 0.3333 0.6667 0.1564 x1
Ru 0.3333 0.6667 0.6621 x1
Ru 0.6667 0.3333 0.4976 x1
Rh 0.0000 0.0000 0.3249 x1
Rh 0.6667 0.3333 0.8317 x1

Calculated values
ΔH_f (0 K): 0.03 eV per atom
Polymorph energy (0 for the lowest one): 0.000 eV per atom
DOS(E_F): 3.99 states/eV/cell


10.
Here is a relaxed Cu2RuRh crystal from Alexandria. Energies are from PBE.

a = 2.6933 Å, b = 2.6933 Å, c = 25.4163 Å
α = 90.00°, β = 90.00°, γ = 120.00°
Space group R3m (No. 160, hexagonal axes)
Symmetry-distinct sites (fractional):
Cu 0.0000 0.0000 0.0000 x3
Cu 0.0000 0.0000 0.2541 x3
Ru 0.0000 0.0000 0.5023 x3
Rh 0.0000 0.0000 0.7520 x3

Calculated values
ΔH_f (0 K): 0.12 eV per atom
Polymorph energy (0 for the lowest one): 0.027 eV per atom
DOS(E_F): 12.75 states/eV/cell


11.
Here is a relaxed TaCuRuRh crystal from Alexandria. Energies are from PBE.

a = 3.587 Å, b = 3.979 Å, c = 4.041 Å
α = 90.00°, β = 90.00°, γ = 90.00°
Space group Pmmm (No. 47)
Symmetry-distinct sites (fractional):
Ta 0.000 0.000 0.000 x1
Cu 0.000 0.500 0.500 x1
Ru 0.500 0.500 0.000 x1
Rh 0.500 0.000 0.500 x1

Calculated values
ΔH_f (0 K): -0.30 eV per atom
Polymorph energy (0 for the lowest one): 0.000 eV per atom
DOS(E_F): 3.88 states/eV/cell


12.
Here is a relaxed TaCuRuRh crystal from Alexandria. Energies are from PBE.

a = 6.159 Å, b = 6.159 Å, c = 6.159 Å
α = 90.00°, β = 90.00°, γ = 90.00°
Space group F-43m (No. 216)
Symmetry-distinct sites (fractional):
Ta 0.000 0.000 0.000 x4
Cu 0.000 0.000 0.500 x4
Ru 0.250 0.250 0.250 x4
Rh 0.250 0.250 0.750 x4

Calculated values
ΔH_f (0 K): -0.28 eV per atom
Polymorph energy (0 for the lowest one): 0.022 eV per atom
DOS(E_F): 16.94 states/eV/cell


13.
Here is a relaxed CuTcRuRh crystal from Alexandria. Energies are from PBE.

a = 6.069 Å, b = 6.069 Å, c = 6.069 Å
α = 90.00°, β = 90.00°, γ = 90.00°
Space group F-43m (No. 216)
Symmetry-distinct sites (fractional):
Cu 0.000 0.000 0.000 x4
Tc 0.000 0.000 0.500 x4
Ru 0.250 0.250 0.250 x4
Rh 0.250 0.250 0.750 x4

Calculated values
ΔH_f (0 K): 0.25 eV per atom
DOS(E_F): 18.47 states/eV/cell


14.
Here is a relaxed VCuRuRh crystal from Alexandria. Energies are from PBE.

a = 5.978 Å, b = 5.978 Å, c = 5.978 Å
α = 90.00°, β = 90.00°, γ = 90.00°
Space group F-43m (No. 216)
Symmetry-distinct sites (fractional):
V 0.000 0.000 0.000 x4
Cu 0.000 0.000 0.500 x4
Ru 0.250 0.250 0.250 x4
Rh 0.250 0.250 0.750 x4

Calculated values
ΔH_f (0 K): -0.14 eV per atom
DOS(E_F): 21.69 states/eV/cell


15.
Here is a relaxed CuRuRhW crystal from Alexandria. Energies are from PBE.

a = 6.098 Å, b = 6.098 Å, c = 6.098 Å
α = 90.00°, β = 90.00°, γ = 90.00°
Space group F-43m (No. 216)
Symmetry-distinct sites (fractional):
Cu 0.000 0.000 0.000 x4
Ru 0.250 0.250 0.250 x4
Rh 0.250 0.250 0.750 x4
W 0.000 0.000 0.500 x4

Calculated values
ΔH_f (0 K): -0.01 eV per atom
DOS(E_F): 4.33 states/eV/cell


16.
Here is a relaxed YCuRuRh2 crystal from Alexandria. Energies are from PBE.

a = 4.822 Å, b = 4.822 Å, c = 4.816 Å
α = 90.00°, β = 90.00°, γ = 90.00°
Space group P4/mmm (No. 123)
Symmetry-distinct sites (fractional):
Y 0.000 0.000 0.000 x1
Cu 0.000 0.000 0.500 x1
Ru 0.500 0.500 0.500 x1
Rh 0.000 0.500 0.000 x2

Calculated values
ΔH_f (0 K): 1.63 eV per atom
DOS(E_F): 6.17 states/eV/cell


17.
Here is a relaxed Cu2Rh2S crystal from Alexandria. Energies are from PBE.

a = 5.999 Å, b = 5.999 Å, c = 4.048 Å
α = 90.00°, β = 90.00°, γ = 90.00°
Space group P4/mbm (No. 127)
Symmetry-distinct sites (fractional):
Cu 0.144 0.356 0.000 x4
Rh 0.162 0.662 0.500 x4
S 0.000 0.000 0.500 x2

Calculated values
DOS(E_F): 5.65 states/eV/cell
ΔE_f (raw): 51 meV per atom


18.
Here is a relaxed Cu3Rh3S8 crystal from Alexandria. Energies are from PBE.

a = 6.9985 Å, b = 6.9985 Å, c = 17.0142 Å
α = 90.00°, β = 90.00°, γ = 120.00°
Space group R-3m (No. 166, hexagonal axes)
Symmetry-distinct sites (fractional):
Cu 0.0000 0.0000 0.0000 x3
Cu 0.0000 0.0000 0.3767 x6
Rh 0.0000 0.5000 0.5000 x9
S 0.0000 0.0000 0.2404 x6
S 0.0241 0.5120 0.7535 x18

Calculated values
DOS(E_F): 39.68 states/eV/cell
ΔE_f (raw): -334 meV per atom


19.
Here is a relaxed Cu3RhS crystal from Alexandria. Energies are from PBE.

a = 4.614 Å, b = 4.614 Å, c = 4.614 Å
α = 90.00°, β = 90.00°, γ = 90.00°
Space group Pm-3m (No. 221)
Symmetry-distinct sites (fractional):
Cu 0.000 0.000 0.500 x3
Rh 0.000 0.000 0.000 x1
S 0.500 0.500 0.500 x1

Calculated values
Polymorph energy (0 for the lowest one): 0.772 eV per atom
DOS(E_F): 6.00 states/eV/cell
ΔE_f (raw): 1214 meV per atom


20.
Here is a relaxed CuRh2S4 crystal from Alexandria. Energies are from PBE.

a = 9.884 Å, b = 9.884 Å, c = 9.884 Å
α = 90.00°, β = 90.00°, γ = 90.00°
Space group Fd-3m (No. 227, origin choice 2)
Symmetry-distinct sites (fractional):
Cu 0.125 0.125 0.125 x8
Rh 0.000 0.000 0.500 x16
S 0.009 0.009 0.741 x32

Calculated values
DOS(E_F): 41.25 states/eV/cell
ΔE_f (raw): -435 meV per atom


21.
Here is a relaxed Cu2RhS crystal from Alexandria. Energies are from PBE.

a = 6.907 Å, b = 6.907 Å, c = 4.692 Å
α = 90.00°, β = 90.00°, γ = 90.00°
Space group I-42d (No. 122)
Symmetry-distinct sites (fractional):
Cu 0.206 0.250 0.125 x8
Rh 0.000 0.000 0.500 x4
S 0.000 0.000 0.000 x4

Calculated values
DOS(E_F): 19.29 states/eV/cell
ΔE_f (raw): 124 meV per atom


22.
Here is a relaxed CuRh3S crystal from Alexandria. Energies are from PBE.

a = 4.518 Å, b = 4.518 Å, c = 4.518 Å
α = 90.00°, β = 90.00°, γ = 90.00°
Space group Pm-3m (No. 221)
Symmetry-distinct sites (fractional):
Cu 0.000 0.000 0.000 x1
Rh 0.000 0.000 0.500 x3
S 0.500 0.500 0.500 x1

Calculated values
Polymorph energy (0 for the lowest one): 1.136 eV per atom
DOS(E_F): 7.09 states/eV/cell
ΔE_f (raw): 1411 meV per atom


23.
Here is a relaxed Cu3RhS crystal from Alexandria. Energies are from PBE.

a = 4.218 Å, b = 4.218 Å, c = 4.218 Å
α = 90.00°, β = 90.00°, γ = 90.00°
Space group Pm-3m (No. 221)
Symmetry-distinct sites (fractional):
Cu 0.000 0.000 0.500 x3
Rh 0.500 0.500 0.500 x1
S 0.000 0.000 0.000 x1

Calculated values
Polymorph energy (0 for the lowest one): 0.000 eV per atom
DOS(E_F): 0.76 states/eV/cell
ΔE_f (raw): 442 meV per atom


24.
Here is a relaxed CuRh3S crystal from Alexandria. Energies are from PBE.

a = 4.338 Å, b = 4.338 Å, c = 4.338 Å
α = 90.00°, β = 90.00°, γ = 90.00°
Space group Pm-3m (No. 221)
Symmetry-distinct sites (fractional):
Cu 0.000 0.000 0.000 x1
Rh 0.000 0.500 0.500 x3
S 0.500 0.500 0.500 x1

Calculated values
Polymorph energy (0 for the lowest one): 0.000 eV per atom
DOS(E_F): 2.62 states/eV/cell
ΔE_f (raw): 276 meV per atom


25.
Here is a relaxed CuRh5S8 crystal from Alexandria. Energies are from PBE.

a = 9.887 Å, b = 9.887 Å, c = 9.887 Å
α = 90.00°, β = 90.00°, γ = 90.00°
Space group F-43m (No. 216)
Symmetry-distinct sites (fractional):
Cu 0.000 0.000 0.000 x4
Rh 0.126 0.126 0.374 x16
Rh 0.250 0.250 0.750 x4
S 0.116 0.116 0.616 x16
S 0.134 0.134 0.134 x16

Calculated values
DOS(E_F): 38.57 states/eV/cell
ΔE_f (raw): -420 meV per atom


26.
Here is a relaxed CuRhSeS2 crystal from Alexandria. Energies are from PBE.

a = 4.937 Å, b = 4.937 Å, c = 4.338 Å
α = 90.00°, β = 90.00°, γ = 90.00°
Space group P4/mmm (No. 123)
Symmetry-distinct sites (fractional):
Cu 0.000 0.000 0.000 x1
Rh 0.500 0.500 0.000 x1
Se 0.000 0.000 0.500 x1
S 0.000 0.500 0.500 x2

Calculated values
Polymorph energy (0 for the lowest one): 0.424 eV per atom
DOS(E_F): 6.19 states/eV/cell
ΔE_f (raw): 1036 meV per atom


27.
Here is a relaxed CuRhSeS2 crystal from Alexandria. Energies are from PBE.

a = 4.489 Å, b = 4.489 Å, c = 4.944 Å
α = 90.00°, β = 90.00°, γ = 90.00°
Space group P4/mmm (No. 123)
Symmetry-distinct sites (fractional):
Cu 0.000 0.000 0.000 x1
Rh 0.000 0.000 0.500 x1
Se 0.500 0.500 0.000 x1
S 0.000 0.500 0.500 x2

Calculated values
Polymorph energy (0 for the lowest one): 0.000 eV per atom
DOS(E_F): 5.66 states/eV/cell
ΔE_f (raw): 612 meV per atom